ZrSiMo2: optimized geometry, PBE-GGA.

Geometry as POSCAR:
```
ZrSiMo2
1.0
-2.5365 -2.7277 -2.1058
3.3348 -2.6019 -0.6464
-0.7250 -1.6899 3.0622
Mo Si Zr
2 1 1
direct
0.0000 0.0000 0.0000
0.5000 0.5000 0.0000
0.5000 0.0000 0.5000
0.0000 0.5000 0.5000
```

Computed properties:
DOS(E_F) (states/eV/f.u.): 3.0
Volume (Å³ per atom): 16.35
Energy relative to the elements, uncorrected (meV/atom): -115